[1]
First-principles (PBE) data for an optimized crystal structure of PaInNi4, as listed in the Alexandria database.

Geometry as extended XYZ:
```
6
Lattice="-0.734 1.238 4.794 -3.965 -1.797 2.470 0.632 -3.426 3.594" Properties=species:S:1:pos:R:3 pbc="T T T"
Ni -0.569 -1.595 5.550
Ni -2.539 -2.487 6.777
Ni -2.174 -3.102 4.396
Ni -2.853 -0.786 4.992
In -1.017 -0.996 2.714
Pa 0.000 0.000 0.000
```

Properties
* DOS(E_F): 5.69 states/eV/cell
* VASP energy: -6.270 eV/atom
* energy of formation from the pure elements: -2.26 eV per formula unit

[2]
First-principles (PBE) data for an optimized crystal structure of Li2CrTc, as listed in the Alexandria database.

Geometry as extended XYZ:
```
8
Lattice="6.899 0.000 0.000 0.000 6.899 0.000 3.449 3.449 2.349" Properties=species:S:1:pos:R:3 pbc="T T T"
Li 5.174 5.198 1.762
Li 5.150 1.725 0.587
Li 8.623 8.599 1.762
Li 1.749 5.174 0.587
Tc 0.000 0.000 0.000
Tc 6.899 3.449 1.174
Cr 3.449 3.449 0.000
Cr 3.449 6.899 1.174
```

Properties
* DOS(E_F): 5.95 states/eV/cell
* VASP energy: -5.173 eV/atom
* energy of formation from the pure elements: 3.13 eV per formula unit
* polymorph energy (0 for the lowest one): 543 meV per atom

[3]
First-principles (PBE) data for an optimized crystal structure of Y2PdN, as listed in the Alexandria database.

Geometry as extended XYZ:
```
8
Lattice="6.590 0.000 0.000 0.000 6.590 0.000 3.295 3.295 3.988" Properties=species:S:1:pos:R:3 pbc="T T T"
Y 4.943 5.417 2.991
Y 2.121 4.943 0.997
Y 8.238 7.764 2.991
Y 4.469 1.648 0.997
Pd 0.000 0.000 0.000
Pd 6.590 3.295 1.994
N 3.295 3.295 0.000
N 3.295 6.590 1.994
```

Properties
* DOS(E_F): 3.47 states/eV/cell
* VASP energy: -7.583 eV/atom
* formation energy from raw total energies: -0.971 eV per atom